No. 1
Material: OsRuI2
Method: DFT, PBE
State: optimized geometry

Output
E_form (uncorrected)   1.2495 eV/atom
ΔE to the lowest computed polymorph   0 meV/atom
Calculated total energy   -4.6519 eV/atom

a = 5.979 Å, b = 5.979 Å, c = 11.703 Å
α = 90.00°, β = 90.00°, γ = 90.00°
Space group I-42d (No. 122)
One atom of each set of equivalent atoms:
Os1 0.000 0.000 0.000 x4
Ru1 0.000 0.000 0.500 x4
I1 0.249 0.250 0.125 x8

***

No. 2
Material: Os2RuI
Method: DFT, PBE
State: optimized geometry

Output
E_form (uncorrected)   1.5077 eV/atom
ΔE to the lowest computed polymorph   42 meV/atom
Calculated total energy   -6.8137 eV/atom

a = 6.005 Å, b = 6.005 Å, c = 10.446 Å
α = 90.00°, β = 90.00°, γ = 90.00°
Space group I-42d (No. 122)
One atom of each set of equivalent atoms:
Os1 0.217 0.250 0.125 x8
Ru1 0.000 0.000 0.000 x4
I1 0.000 0.000 0.500 x4

***

No. 3
Material: OsRuI2
Method: DFT, PBE
State: optimized geometry

Output
E_form (uncorrected)   1.4396 eV/atom
ΔE to the lowest computed polymorph   190 meV/atom
Calculated total energy   -4.4618 eV/atom

a = 6.774 Å, b = 6.774 Å, c = 6.774 Å
α = 90.00°, β = 90.00°, γ = 90.00°
Space group Fm-3m (No. 225)
One atom of each set of equivalent atoms:
Os1 0.000 0.000 0.000 x4
Ru1 0.000 0.000 0.500 x4
I1 0.250 0.250 0.250 x8

***

The lowest E_form (uncorrected) belongs to which entry? number 1

***

What is the calculated total energy in the second record? -6.8137 eV/atom